[1]
Below is a geometry-optimized SrAlCo2Sb structure, with properties calculated at the PBE-GGA level.

Geometry as POSCAR:
```
SrAlCo2Sb
1.0
-2.993 -2.081 2.776
4.255 -1.697 3.314
-0.387 3.844 2.465
Sb Co Sr Al
1 2 1 1
Direct
0.500 0.500 0.500
0.500 0.000 0.000
0.000 0.000 0.500
0.000 0.500 0.000
0.000 0.000 0.000
```

Computed properties:
- calculated density (kg/m³) = 4954
- formation energy without anion corrections (eV/atom) = 0.6347
- Fermi-level density of states (states/eV/cell) = 3.9
- spin magnetization (μB per cell) = 2.6
- volume (Å³/cell) = 119

---

[2]
Below is a geometry-optimized AlCoSbTe2 structure, with properties calculated at the PBE-GGA level.

Geometry as POSCAR:
```
AlCoSbTe2
1.0
-1.128 -1.559 4.957
5.176 -0.785 0.931
0.446 4.879 1.636
Co Te Al Sb
1 2 1 1
Direct
0.500 0.500 0.500
0.500 0.000 0.000
0.000 0.500 0.000
0.000 0.000 0.000
0.000 0.000 0.500
```

Computed properties:
- calculated density (kg/m³) = 5263
- formation energy without anion corrections (eV/atom) = 0.9577
- Fermi-level density of states (states/eV/cell) = 9.9
- spin magnetization (μB per cell) = 2.1
- excess energy over the best structure of this formula in the dataset (meV per atom) = 535.8
- volume (Å³/cell) = 146

---

[3]
Below is a geometry-optimized AlCoSbTe2 structure, with properties calculated at the PBE-GGA level.

Geometry as POSCAR:
```
AlCoSbTe2
1.0
-4.673 -0.823 2.303
2.228 -3.481 3.277
0.895 3.440 3.046
Al Te Sb Co
1 2 1 1
Direct
0.500 0.500 0.500
0.000 0.500 0.000
0.500 0.000 0.000
0.000 0.000 0.500
0.000 0.000 0.000
```

Computed properties:
- calculated density (kg/m³) = 5902
- formation energy without anion corrections (eV/atom) = 0.4220
- Fermi-level density of states (states/eV/cell) = 5.9
- spin magnetization (μB per cell) = 0.0
- excess energy over the best structure of this formula in the dataset (meV per atom) = 0.0
- volume (Å³/cell) = 130

---

[4]
Below is a geometry-optimized TiAlCoSb2 structure, with properties calculated at the PBE-GGA level.

Geometry as POSCAR:
```
TiAlCoSb2
1.0
5.127 0.000 0.000
0.000 4.777 0.000
0.000 0.000 5.127
Co Al Ti Sb
1 1 1 2
Direct
0.500 0.500 0.500
0.000 0.000 0.000
0.000 0.500 0.000
0.500 0.000 0.000
0.000 0.000 0.500
```

Computed properties:
- calculated density (kg/m³) = 4990
- formation energy without anion corrections (eV/atom) = 1.1400
- Fermi-level density of states (states/eV/cell) = 6.6
- spin magnetization (μB per cell) = 0.9
- volume (Å³/cell) = 126

---

[5]
Below is a geometry-optimized YAlCo2Sb structure, with properties calculated at the PBE-GGA level.

Geometry as POSCAR:
```
YAlCo2Sb
1.0
-1.746 -4.309 -0.026
4.273 -1.728 -0.605
0.615 -0.280 5.147
Y Co Al Sb
1 2 1 1
Direct
0.500 0.500 0.500
0.500 0.000 0.000
0.000 0.500 0.000
0.000 0.000 0.500
0.000 0.000 0.000
```

Computed properties:
- calculated density (kg/m³) = 5262
- formation energy without anion corrections (eV/atom) = 0.6016
- Fermi-level density of states (states/eV/cell) = 5.3
- spin magnetization (μB per cell) = 1.9
- volume (Å³/cell) = 112

---

[6]
Below is a geometry-optimized Sc4AlCo structure, with properties calculated at the PBE-GGA level.

Geometry as POSCAR:
```
Sc4AlCo
1.0
7.606 0.000 4.391
2.535 7.171 4.391
0.000 0.000 8.782
Sc Al Co
16 4 4
Direct
0.399 0.399 0.802
0.189 0.189 0.811
0.557 0.943 0.943
0.399 0.399 0.399
0.811 0.189 0.189
0.557 0.557 0.943
0.943 0.557 0.557
0.811 0.189 0.811
0.399 0.802 0.399
0.802 0.399 0.399
0.189 0.811 0.189
0.557 0.943 0.557
0.189 0.811 0.811
0.943 0.557 0.943
0.943 0.943 0.557
0.811 0.811 0.189
0.170 0.170 0.490
0.170 0.490 0.170
0.170 0.170 0.170
0.490 0.170 0.170
0.174 0.609 0.609
0.609 0.609 0.174
0.609 0.174 0.609
0.609 0.609 0.609
```

Computed properties:
- calculated density (kg/m³) = 3685
- Fermi-level density of states (states/eV/cell) = 17.2
- spin magnetization (μB per cell) = 0.0
- excess energy over the best structure of this formula in the dataset (meV per atom) = 0.0
- energy of formation from the pure elements (kcal/mol of atoms) = -7.9
- volume (Å³/cell) = 479

---

[7]
Below is a geometry-optimized Sc6AlCo2 structure, with properties calculated at the PBE-GGA level.

Geometry as POSCAR:
```
Sc6AlCo2
1.0
7.255 0.005 -2.644
-3.835 6.334 -2.190
-0.078 -0.005 7.721
Sc Al Co
12 2 4
Direct
0.797 0.240 0.037
0.203 0.240 0.442
0.797 0.760 0.558
0.097 0.282 0.815
0.305 0.629 0.324
0.695 0.371 0.676
0.695 0.018 0.324
0.533 0.718 0.815
0.203 0.760 0.963
0.467 0.282 0.185
0.305 0.982 0.676
0.903 0.718 0.185
0.000 0.500 0.500
0.000 0.000 0.000
0.663 0.000 0.663
0.500 0.622 0.122
0.337 0.000 0.337
0.500 0.378 0.878
```

Computed properties:
- calculated density (kg/m³) = 3895
- Fermi-level density of states (states/eV/cell) = 18.5
- spin magnetization (μB per cell) = 0.0
- energy of formation from the pure elements (kcal/mol of atoms) = -7.5
- volume (Å³/cell) = 354

---

[8]
Below is a geometry-optimized ScAlCo2 structure, with properties calculated at the PBE-GGA level.

Geometry as POSCAR:
```
ScAlCo2
1.0
3.003 0.000 0.000
0.000 3.005 0.000
0.000 0.000 5.935
Co Sc Al
2 1 1
Direct
0.000 0.000 0.978
0.000 0.000 0.522
0.500 0.500 0.250
0.500 0.500 0.750
```

Computed properties:
- calculated density (kg/m³) = 5885
- Fermi-level density of states (states/eV/cell) = 1.9
- spin magnetization (μB per cell) = 0.0
- energy of formation from the pure elements (kcal/mol of atoms) = -10.4
- volume (Å³/cell) = 54

---

[9]
Below is a geometry-optimized Sc2Al2Co structure, with properties calculated at the PBE-GGA level.

Geometry as POSCAR:
```
Sc2Al2Co
1.0
3.490 0.000 0.000
0.000 3.490 0.000
1.745 1.745 7.939
Co Al Sc
1 2 2
Direct
0.000 0.000 0.000
0.250 0.750 0.500
0.750 0.250 0.500
0.592 0.592 0.816
0.408 0.408 0.184
```

Computed properties:
- calculated density (kg/m³) = 3483
- Fermi-level density of states (states/eV/cell) = 5.1
- spin magnetization (μB per cell) = 0.0
- excess energy over the best structure of this formula in the dataset (meV per atom) = 385.3
- energy of formation from the pure elements (kcal/mol of atoms) = 2.5
- volume (Å³/cell) = 97

---

[10]
Below is a geometry-optimized ScAl4Co5 structure, with properties calculated at the PBE-GGA level.

Geometry as POSCAR:
```
ScAl4Co5
1.0
-0.617 -1.989 2.016
1.250 -2.042 -1.633
12.842 2.640 6.534
Co Al Sc
5 4 1
Direct
0.500 0.500 0.307
0.500 0.500 0.693
0.500 0.500 0.115
0.500 0.500 0.500
0.500 0.500 0.885
0.000 0.000 0.209
0.000 0.000 0.597
0.000 0.000 0.403
0.000 0.000 0.791
0.000 0.000 0.000
```

Computed properties:
- calculated density (kg/m³) = 6039
- Fermi-level density of states (states/eV/cell) = 5.2
- spin magnetization (μB per cell) = 0.0
- energy of formation from the pure elements (kcal/mol of atoms) = -12.2
- volume (Å³/cell) = 123

---

[11]
Below is a geometry-optimized Sc8AlCo2 structure, with properties calculated at the PBE-GGA level.

Geometry as POSCAR:
```
Sc8AlCo2
1.0
4.797 -0.055 -0.083
-0.869 7.278 -0.088
-0.869 -2.884 6.682
Sc Co Al
8 2 1
Direct
0.694 0.382 0.382
0.074 0.065 0.326
0.306 0.618 0.618
0.500 0.751 0.249
0.500 0.249 0.751
0.926 0.674 0.935
0.926 0.935 0.674
0.074 0.326 0.065
0.000 0.313 0.687
0.000 0.687 0.313
0.500 0.000 0.000
```

Computed properties:
- calculated density (kg/m³) = 3626
- Fermi-level density of states (states/eV/cell) = 12.7
- spin magnetization (μB per cell) = 0.9
- energy of formation from the pure elements (kcal/mol of atoms) = -4.1
- volume (Å³/cell) = 231

---

[12]
Below is a geometry-optimized Sc2Al8Co structure, with properties calculated at the PBE-GGA level.

Geometry as POSCAR:
```
Sc2Al8Co
1.0
4.117 0.000 0.000
0.000 4.117 0.000
0.000 0.000 10.776
Al Sc Co
8 2 1
Direct
0.500 0.000 0.121
0.500 0.000 0.879
0.500 0.500 0.308
0.000 0.500 0.121
0.000 0.500 0.500
0.500 0.500 0.692
0.500 0.000 0.500
0.000 0.500 0.879
0.000 0.000 0.309
0.000 0.000 0.691
0.000 0.000 0.000
```

Computed properties:
- calculated density (kg/m³) = 3316
- Fermi-level density of states (states/eV/cell) = 5.0
- spin magnetization (μB per cell) = 0.0
- energy of formation from the pure elements (kcal/mol of atoms) = -10.9
- volume (Å³/cell) = 183

---

[13]
Below is a geometry-optimized Sc2Al9Co3 structure, with properties calculated at the PBE-GGA level.

Geometry as POSCAR:
```
Sc2Al9Co3
1.0
-2.435 4.500 -5.168
-4.730 -4.125 3.674
-0.945 6.592 6.184
Al Co Sc
18 6 4
Direct
0.671 0.671 0.452
0.335 0.995 0.074
0.117 0.117 0.250
0.883 0.883 0.750
0.660 0.439 0.750
0.995 0.335 0.426
0.671 0.671 0.048
0.665 0.005 0.926
0.340 0.561 0.250
0.439 0.660 0.750
0.665 0.005 0.574
0.335 0.995 0.426
0.005 0.665 0.574
0.995 0.335 0.074
0.329 0.329 0.952
0.561 0.340 0.250
0.329 0.329 0.548
0.005 0.665 0.926
0.671 0.329 0.500
0.000 0.000 0.000
0.000 0.000 0.500
0.671 0.329 0.000
0.329 0.671 0.500
0.329 0.671 0.000
0.006 0.328 0.750
0.994 0.672 0.250
0.672 0.994 0.250
0.328 0.006 0.750
```

Computed properties:
- calculated density (kg/m³) = 4045
- Fermi-level density of states (states/eV/cell) = 14.9
- spin magnetization (μB per cell) = 0.0
- energy of formation from the pure elements (kcal/mol of atoms) = -13.1
- volume (Å³/cell) = 418

---

[14]
Below is a geometry-optimized Sc5AlCo6 structure, with properties calculated at the PBE-GGA level.

Geometry as POSCAR:
```
Sc5AlCo6
1.0
-3.758 -0.635 -2.080
2.501 -4.699 -3.084
-3.787 -4.416 3.658
Co Sc Al
6 5 1
Direct
0.500 0.756 0.000
0.164 0.244 0.673
0.164 0.756 0.673
0.836 0.244 0.327
0.836 0.756 0.327
0.500 0.244 0.000
0.338 0.000 0.324
0.333 0.500 0.334
0.667 0.500 0.666
0.662 0.000 0.676
0.000 0.500 0.000
0.000 0.000 0.000
```

Computed properties:
- calculated density (kg/m³) = 5773
- Fermi-level density of states (states/eV/cell) = 4.7
- spin magnetization (μB per cell) = 0.0
- energy of formation from the pure elements (kcal/mol of atoms) = -8.9
- volume (Å³/cell) = 174

---

[15]
Below is a geometry-optimized ScAlCo2 structure, with properties calculated at the PBE-GGA level.

Geometry as POSCAR:
```
ScAlCo2
1.0
-6.459 0.971 0.189
-0.655 -3.265 -5.622
-3.871 -3.508 -1.309
Co Al Sc
4 2 2
Direct
0.603 0.125 0.250
0.147 0.625 0.250
0.375 0.397 0.750
0.875 0.853 0.750
0.250 0.750 0.500
0.500 0.500 0.000
0.000 0.000 0.000
0.750 0.250 0.500
```

Computed properties:
- calculated density (kg/m³) = 5336
- Fermi-level density of states (states/eV/cell) = 2.2
- spin magnetization (μB per cell) = 0.0
- energy of formation from the pure elements (kcal/mol of atoms) = 2.3
- volume (Å³/cell) = 118

---

[16]
Below is a geometry-optimized Sc5AlCo structure, with properties calculated at the PBE-GGA level.

Geometry as POSCAR:
```
Sc5AlCo
1.0
-0.976 1.271 -5.552
3.811 -2.305 -3.682
-4.794 -8.379 -3.752
Co Sc Al
2 10 2
Direct
0.000 0.000 0.000
0.000 0.000 0.500
0.024 0.976 0.750
0.792 0.453 0.454
0.411 0.037 0.360
0.453 0.792 0.954
0.976 0.024 0.250
0.589 0.963 0.640
0.208 0.547 0.546
0.037 0.411 0.860
0.963 0.589 0.140
0.547 0.208 0.046
0.544 0.456 0.750
0.456 0.544 0.250
```

Computed properties:
- calculated density (kg/m³) = 3429
- Fermi-level density of states (states/eV/cell) = 18.7
- spin magnetization (μB per cell) = 0.0
- energy of formation from the pure elements (kcal/mol of atoms) = -1.8
- volume (Å³/cell) = 301

---

[17]
Below is a geometry-optimized ScAlCo2 structure, with properties calculated at the PBE-GGA level.

Geometry as POSCAR:
```
ScAlCo2
1.0
3.957 0.000 0.000
0.000 2.986 0.019
0.000 1.461 4.756
Co Sc Al
2 1 1
Direct
0.000 0.204 0.966
0.500 0.056 0.264
0.000 0.466 0.444
0.500 0.774 0.826
```

Computed properties:
- calculated density (kg/m³) = 5618
- Fermi-level density of states (states/eV/cell) = 4.6
- spin magnetization (μB per cell) = 0.0
- energy of formation from the pure elements (kcal/mol of atoms) = -6.1
- volume (Å³/cell) = 56

---

[18]
Below is a geometry-optimized Sc5AlCo4 structure, with properties calculated at the PBE-GGA level.

Geometry as POSCAR:
```
Sc5AlCo4
1.0
3.161 0.000 0.000
0.000 3.161 0.000
0.000 0.000 16.094
Sc Co Al
5 4 1
Direct
0.500 0.500 0.691
0.500 0.500 0.118
0.500 0.500 0.882
0.500 0.500 0.309
0.500 0.500 0.500
0.000 0.000 0.404
0.000 0.000 0.209
0.000 0.000 0.791
0.000 0.000 0.596
0.000 0.000 0.000
```

Computed properties:
- calculated density (kg/m³) = 5033
- Fermi-level density of states (states/eV/cell) = 4.1
- spin magnetization (μB per cell) = 1.1
- energy of formation from the pure elements (kcal/mol of atoms) = -8.9
- volume (Å³/cell) = 161

---

[19]
Below is a geometry-optimized Sc2Al2Co structure, with properties calculated at the PBE-GGA level.

Geometry as POSCAR:
```
Sc2Al2Co
1.0
-3.115 -4.493 3.561
5.732 -2.355 2.042
-0.079 2.661 3.289
Al Sc Co
4 4 2
Direct
0.641 0.141 0.000
0.359 0.859 0.000
0.859 0.641 0.000
0.141 0.359 0.000
0.330 0.170 0.500
0.670 0.830 0.500
0.830 0.330 0.500
0.170 0.670 0.500
0.000 0.000 0.000
0.500 0.500 0.000
```

Computed properties:
- calculated density (kg/m³) = 3740
- Fermi-level density of states (states/eV/cell) = 10.9
- spin magnetization (μB per cell) = 0.0
- excess energy over the best structure of this formula in the dataset (meV per atom) = 0.0
- energy of formation from the pure elements (kcal/mol of atoms) = -6.4
- volume (Å³/cell) = 180

---

[20]
Below is a geometry-optimized ScAlCo2 structure, with properties calculated at the PBE-GGA level.

Geometry as POSCAR:
```
ScAlCo2
1.0
4.315 0.000 0.000
2.158 3.737 0.000
2.158 1.246 3.523
Co Sc Al
2 1 1
Direct
0.250 0.250 0.250
0.000 0.000 0.000
0.750 0.750 0.750
0.500 0.500 0.500
```

Computed properties:
- calculated density (kg/m³) = 5547
- Fermi-level density of states (states/eV/cell) = 5.6
- spin magnetization (μB per cell) = 2.8
- energy of formation from the pure elements (kcal/mol of atoms) = -2.7
- volume (Å³/cell) = 57